1.
# FeNi2Te

A relaxed structure of FeNi2Te (PBE-GGA, Alexandria).

```
4
Lattice="4.250 0.000 0.000 2.125 3.680 0.000 2.125 1.227 3.470" Properties=species:S:1:pos:R:3 pbc="T T T"
Fe 4.250 2.454 1.735
Ni 0.000 0.000 0.000
Ni 6.375 3.680 2.602
Te 2.125 1.227 0.867
```

Output
Space-group type = F-43m (216)
Magnetic moment = 0.64 μB per atom
Formation energy from raw total energies = 0.17 eV/atom

***

2.
# FeNi2Te

A relaxed structure of FeNi2Te (PBE-GGA, Alexandria).

```
8
Lattice="-3.381 -1.007 1.380 0.426 -3.460 -1.481 2.261 -4.869 7.183" Properties=species:S:1:pos:R:3 pbc="T T T"
Ni -1.434 -2.261 2.449
Ni 0.348 -3.524 1.068
Ni 0.595 -5.389 5.323
Ni -0.897 -7.499 5.326
Te 0.000 0.000 0.000
Te -1.298 -4.055 4.257
Fe -1.477 -2.234 -0.050
Fe 0.605 -5.282 2.826
```

Output
Space-group type = I-42d (122)
Magnetic moment = 0.89 μB per atom
Formation energy from raw total energies = 0.37 eV/atom

***

3.
# Fe2NiTe

A relaxed structure of Fe2NiTe (PBE-GGA, Alexandria).

```
4
Lattice="-1.257 -1.758 -2.443 -0.617 -2.441 2.074 -4.884 2.091 1.009" Properties=species:S:1:pos:R:3 pbc="T T T"
Fe -0.135 0.058 0.028
Fe -2.124 -1.591 0.061
Ni -2.382 1.020 0.492
Te -4.558 -0.548 0.563
```

Output
Space-group type = P4mm (99)
Magnetic moment = 1.29 μB per atom
Formation energy from raw total energies = 0.24 eV/atom

***

4.
# Fe2NiTe

A relaxed structure of Fe2NiTe (PBE-GGA, Alexandria).

```
4
Lattice="4.561 -0.025 0.018 2.911 3.511 0.018 1.668 0.778 3.448" Properties=species:S:1:pos:R:3 pbc="T T T"
Fe 1.672 0.780 3.447
Fe 6.852 3.197 2.615
Ni 4.568 2.131 1.744
Te 2.286 1.067 0.870
```

Output
Space-group type = Imm2 (44)
Magnetic moment = 1.31 μB per atom
Formation energy from raw total energies = 0.22 eV/atom

***

- Which of these has the highest magnetic moment?
  number 4

***

- Look up the magnetic moment of the third one.
  1.29 μB per atom

***

- Which value of magnetic moment does entry 2 give?
  0.89 μB per atom